Material: Zr2Ti2Cd
Method: DFT, PBE
State: optimized geometry

POSCAR file:
```
Zr2Ti2Cd
1.0
8.349 -2.530 0.000
8.349 2.530 0.000
0.000 0.000 4.850
Zr Ti Cd
4 4 2
direct
0.105 0.675 0.750 Zr
0.325 0.895 0.750 Zr
0.675 0.105 0.250 Zr
0.895 0.325 0.250 Zr
0.116 0.463 0.250 Ti
0.463 0.116 0.750 Ti
0.537 0.884 0.250 Ti
0.884 0.537 0.750 Ti
0.299 0.701 0.250 Cd
0.701 0.299 0.750 Cd
```

Calculated values
Crystal system: orthorhombic
Total magnetic moment, μB per cell: 0.000
Formation energy, kJ/mol of formula units: -14
SG: Cmcm, No. 63